# MgZnAg2

A relaxed MgZnAg2 crystal (PBE-GGA, Alexandria).

Formation energy, meV/atom: -103
DOS at the Fermi energy, states/eV/f.u.: 1.269
V, Å³ per cell: 70
Space group: No. 99
Total energy, eV per atom: -2.25

Cell and atoms, written as CIF:
```
data_MgZnAg2
_chemical_formula_sum 'Mg1 Zn1 Ag2'
_space_group_name_H-M_alt 'P 1'
_space_group_IT_number 1
_cell_length_a 3.287
_cell_length_b 3.287
_cell_length_c 6.480
_cell_angle_alpha 90.00
_cell_angle_beta 90.00
_cell_angle_gamma 90.00
loop_
_space_group_symop_operation_xyz
'x,y,z'
loop_
_atom_site_label
_atom_site_type_symbol
_atom_site_fract_x
_atom_site_fract_y
_atom_site_fract_z
Mg1 Mg 0.000 0.000 0.000
Zn1 Zn 0.500 0.500 0.258
Ag1 Ag 0.000 0.000 0.477
Ag2 Ag 0.500 0.500 0.749
```